The following is a DFT calculation (PBE) of a relaxed K3TmPu2S6 crystal.

The formation energy without anion corrections comes out at -1677 meV per atom.

The space group is C2/m (No. 12) and the conventional cell measures 7.0613, 12.2310 and 7.7100 Å, with angles of 90.00, 107.78 and 90.00 degrees. The inequivalent atoms are K at (0.0000, 0.0000, 0.0000), K at (0.0000, 0.3330, 0.0000), Tm at (0.0000, 0.5000, 0.5000), Pu at (0.0000, 0.1667, 0.5000), S at (0.2310, 0.3357, 0.7003) and S at (0.2382, 0.0000, 0.7002).


The following is a DFT calculation (PBE) of a relaxed K3Tm2PuS6 crystal.

The formation energy without anion corrections comes out at -1768 meV per atom.

The space group is C2/m (No. 12) and the conventional cell measures 7.0132, 12.1483 and 7.7052 Å, with angles of 90.00, 107.66 and 90.00 degrees. The inequivalent atoms are K at (0.0000, 0.0000, 0.0000), K at (0.0000, 0.3337, 0.0000), Tm at (0.0000, 0.1667, 0.5000), Pu at (0.0000, 0.5000, 0.5000), S at (0.2265, 0.0000, 0.6999) and S at (0.2367, 0.3299, 0.6998).


The following is a DFT calculation (PBE) of a relaxed K4Tm3PuS8 crystal.

The formation energy without anion corrections comes out at -1799 meV per atom.

The space group is R-3m (No. 166, hexagonal axes) and the conventional cell measures 8.0691, 8.0691 and 22.0460 Å, with angles of 90.00, 90.00 and 120.00 degrees. The inequivalent atoms are K at (0.0000, 0.0000, 0.0000), K at (0.0000, 0.5000, 0.0000), Tm at (0.0000, 0.5000, 0.5000), Pu at (0.0000, 0.0000, 0.5000), S at (0.0000, 0.0000, 0.2331) and S at (0.0062, 0.5031, 0.7667).


The following is a DFT calculation (PBE) of a relaxed KTm4PuS8 crystal.

The formation energy without anion corrections comes out at -1831 meV per atom.

The space group is R3m (No. 160, hexagonal axes) and the conventional cell measures 8.0995, 8.0995 and 20.2665 Å, with angles of 90.00, 90.00 and 120.00 degrees. The inequivalent atoms are K at (0.0000, 0.0000, 0.0000), Tm at (0.0000, 0.0000, 0.2526), Tm at (0.1724, 0.3448, 0.4593), Pu at (0.0000, 0.0000, 0.6304), S at (0.0000, 0.0000, 0.3843), S at (0.0000, 0.0000, 0.8599), S at (0.0436, 0.5218, 0.3848) and S at (0.1741, 0.3483, 0.2052).


The following is a DFT calculation (PBE) of a relaxed K3Tm3PuS8 crystal.

The formation energy without anion corrections comes out at -1788 meV per atom.

The space group is R-3m (No. 166, hexagonal axes) and the conventional cell measures 7.9568, 7.9568 and 22.4120 Å, with angles of 90.00, 90.00 and 120.00 degrees. The inequivalent atoms are K at (0.0000, 0.5000, 0.0000), Tm at (0.0000, 0.5000, 0.5000), Pu at (0.0000, 0.0000, 0.5000), S at (0.0000, 0.0000, 0.2326) and S at (0.0022, 0.5011, 0.2314).


The following is a DFT calculation (PBE) of a relaxed K3TmPu3S8 crystal.

The formation energy without anion corrections comes out at -1619 meV per atom.

The space group is C2/m (No. 12) and the conventional cell measures 14.0606, 8.1072 and 8.7765 Å, with angles of 90.00, 122.15 and 90.00 degrees. The inequivalent atoms are K at (0.0000, 0.0000, 0.0000), K at (0.2500, 0.2500, 0.0000), Tm at (0.0000, 0.0000, 0.5000), Pu at (0.0000, 0.5000, 0.5000), Pu at (0.2500, 0.2500, 0.5000), S at (0.0172, 0.2469, 0.3059), S at (0.2295, 0.0000, 0.6918) and S at (0.2340, 0.5000, 0.6992).


The following is a DFT calculation (PBE) of a relaxed K3Pu2US6 crystal.

The formation energy without anion corrections comes out at -1549 meV per atom.

The space group is C2/m (No. 12) and the conventional cell measures 7.1033, 12.3032 and 7.7161 Å, with angles of 90.00, 107.88 and 90.00 degrees. The inequivalent atoms are K at (0.0000, 0.0000, 0.0000), K at (0.0000, 0.3319, 0.0000), Pu at (0.0000, 0.1666, 0.5000), U at (0.0000, 0.5000, 0.5000), S at (0.2298, 0.3371, 0.7007) and S at (0.2412, 0.0000, 0.7007).


The following is a DFT calculation (PBE) of a relaxed K4Pu3US8 crystal.

The formation energy without anion corrections comes out at -1562 meV per atom.

The space group is R-3m (No. 166, hexagonal axes) and the conventional cell measures 8.2103, 8.2103 and 22.0125 Å, with angles of 90.00, 90.00 and 120.00 degrees. The inequivalent atoms are K at (0.0000, 0.0000, 0.0000), K at (0.0000, 0.5000, 0.0000), Pu at (0.0000, 0.5000, 0.5000), U at (0.0000, 0.0000, 0.5000), S at (0.0000, 0.0000, 0.2336) and S at (0.0069, 0.5035, 0.2334).


The following is a DFT calculation (PBE) of a relaxed K2PuU2S6 crystal.

The formation energy without anion corrections comes out at -1502 meV per atom.

The space group is C2/m (No. 12) and the conventional cell measures 6.9854, 12.1277 and 7.8535 Å, with angles of 90.00, 106.93 and 90.00 degrees. The inequivalent atoms are K at (0.0000, 0.1654, 0.0000), Pu at (0.0000, 0.0000, 0.5000), U at (0.0000, 0.3346, 0.5000), S at (0.2257, 0.5000, 0.6955) and S at (0.2324, 0.1716, 0.6940).


The following is a DFT calculation (PBE) of a relaxed KPu2US8 crystal.

The formation energy without anion corrections comes out at -1069 meV per atom.

The space group is P2/m (No. 10) and the conventional cell measures 6.1575, 8.3004 and 6.4378 Å, with angles of 90.00, 90.60 and 90.00 degrees. The inequivalent atoms are K at (0.0000, 0.0000, 0.0000), Pu at (0.5000, 0.2518, 0.5000), U at (0.0000, 0.5000, 0.0000), S at (0.2409, 0.2920, 0.1663), S at (0.2750, 0.5000, 0.6748) and S at (0.2758, 0.0000, 0.6063).


The following is a DFT calculation (PBE) of a relaxed K3Pu3US8 crystal.

The formation energy without anion corrections comes out at -1545 meV per atom.

The space group is C2/m (No. 12) and the conventional cell measures 14.1935, 8.1876 and 8.7991 Å, with angles of 90.00, 122.42 and 90.00 degrees. The inequivalent atoms are K at (0.0000, 0.0000, 0.0000), K at (0.2500, 0.2500, 0.0000), Pu at (0.0000, 0.5000, 0.5000), Pu at (0.2500, 0.2500, 0.5000), U at (0.0000, 0.0000, 0.5000), S at (0.0162, 0.2395, 0.3069), S at (0.2249, 0.0000, 0.6913) and S at (0.2342, 0.5000, 0.7001).


The following is a DFT calculation (PBE) of a relaxed K2PuUS6 crystal.

The formation energy without anion corrections comes out at -1298 meV per atom.

The space group is P2_1/c (No. 14) and the conventional cell measures 7.3060, 7.3068 and 12.6624 Å, with angles of 90.00, 125.21 and 90.00 degrees. The inequivalent atoms are K at (0.2487, 0.0111, 0.2500), Pu at (0.5000, 0.0000, 0.0000), U at (0.0000, 0.0000, 0.5000), S at (0.2082, 0.2336, 0.9834), S at (0.2496, 0.7251, 0.9835) and S at (0.2782, 0.0027, 0.7457).